# 1
Material: Pm2CdPd3
Method: DFT, PBE
State: optimized geometry

Summary:
* distance to the lowest polymorph of the same formula: 0.00 eV per formula unit

a b c (Å): 7.494 3.940 17.754
angles (deg): 90.00 90.00 90.00
Space group Pnma (No. 62)
Symmetry-distinct sites (fractional):
Pm1 0.104 0.250 0.212 (multiplicity 4)
Pm2 0.153 0.250 0.428 (multiplicity 4)
Cd1 0.014 0.750 0.063 (multiplicity 4)
Pd1 0.088 0.250 0.658 (multiplicity 4)
Pd2 0.208 0.250 0.811 (multiplicity 4)
Pd3 0.228 0.750 0.554 (multiplicity 4)

---

# 2
Material: Th2MnGa4Ni3
Method: DFT, PBE
State: optimized geometry

a b c (Å): 4.116 4.116 10.314
angles (deg): 90.00 90.00 90.00
Space group P-4m2 (No. 115)
Symmetry-distinct sites (fractional):
Th1 0.000 0.500 0.245 (multiplicity 2)
Mn1 0.000 0.000 0.500 (multiplicity 1)
Ga1 0.000 0.000 0.000 (multiplicity 1)
Ga2 0.000 0.500 0.634 (multiplicity 2)
Ga3 0.500 0.500 0.000 (multiplicity 1)
Ni1 0.000 0.500 0.868 (multiplicity 2)
Ni2 0.500 0.500 0.500 (multiplicity 1)

---

# 3
Material: Ta2CrAg
Method: DFT, PBE
State: optimized geometry

Summary:
* distance to the lowest polymorph of the same formula: 0.66 eV per formula unit

a b c (Å): 3.213 4.543 9.078
angles (deg): 90.00 90.00 90.00
Space group Imm2 (No. 44)
Symmetry-distinct sites (fractional):
Ta1 0.000 0.000 0.000 (multiplicity 2)
Ta2 0.000 0.500 0.229 (multiplicity 2)
Cr1 0.000 0.000 0.515 (multiplicity 2)
Ag1 0.000 0.500 0.770 (multiplicity 2)

---

# 4
Material: Ce3Hg2Rh
Method: DFT, PBE
State: optimized geometry

a b c (Å): 7.744 11.243 7.924
angles (deg): 90.00 101.46 90.00
Space group C2/m (No. 12)
Symmetry-distinct sites (fractional):
Ce1 0.187 0.000 0.185 (multiplicity 4)
Ce2 0.229 0.180 0.767 (multiplicity 8)
Hg1 0.000 0.000 0.500 (multiplicity 2)
Hg2 0.000 0.368 0.500 (multiplicity 4)
Hg3 0.000 0.500 0.000 (multiplicity 2)
Rh1 0.000 0.188 0.000 (multiplicity 4)

---

no.,energy of formation from the pure elements (eV/atom),density (kg/m³)
1,-0.7327,9145
2,-0.5032,9256
3,0.3743,13076
4,-0.3428,9082